Density functional theory data (GGA-PBE) for an optimized crystal structure of RbMgSiTe4.

Raw formation energy   -0.485 eV/atom
Total DFT energy (no corrections)   -3.42 eV per atom
Magnetization   0.000 μB/atom
Crystal system   monoclinic

a b c (Å): 7.159 7.230 10.927
angles (deg): 90.00 107.04 90.00
Fractional coordinates of all 14 atoms:
Rb1 0.212 0.250 0.047
Rb2 0.788 0.750 0.953
Mg1 0.282 0.250 0.667
Mg2 0.718 0.750 0.333
Si1 0.217 0.750 0.308
Si2 0.783 0.250 0.692
Te1 0.019 0.516 0.713
Te2 0.019 0.984 0.713
Te3 0.369 0.750 0.126
Te4 0.493 0.250 0.486
Te5 0.507 0.750 0.514
Te6 0.631 0.250 0.874
Te7 0.981 0.016 0.287
Te8 0.981 0.484 0.287